This record from Alexandria describes a relaxed Co3Te crystal. The functional is GGA-PBEsol.

**ΔE_f (raw)**: 354 meV/atom
**DOS(E_F)**: 1.79 states/eV/atom
**VASP energy**: -6.3308 eV/atom
**Space group**: Cmcm

a = 3.9217 Å, b = 5.5821 Å, c = 5.5821 Å
α = 100.09°, β = 90.00°, γ = 90.00°
With the nearest neighbours (Å) after each atom.
Element x y z (fractional)
Co (0.7500, 0.9387, 0.0613)  4 Co 2.22-2.48, 1 Te 2.48
Co (0.2500, 0.0613, 0.9387)  4 Co 2.22-2.48, 1 Te 2.48
Co (0.7500, 0.0347, 0.6444)  6 Co 2.30-2.55, 1 Te 2.47
Co (0.2500, 0.9653, 0.3556)  6 Co 2.30-2.55, 1 Te 2.47
Co (0.7500, 0.3556, 0.9653)  6 Co 2.30-2.55, 1 Te 2.47
Co (0.2500, 0.6444, 0.0347)  6 Co 2.30-2.55, 1 Te 2.47
Te (0.2500, 0.3513, 0.6487)  7 Co 2.47-2.64
Te (0.7500, 0.6487, 0.3513)  7 Co 2.47-2.64

This record from Alexandria describes a relaxed Y2ZnRuSe crystal. The functional is GGA-PBEsol.

**ΔE_f (raw)**: 179 meV/atom
**DOS(E_F)**: 0.71 states/eV/atom
**VASP energy**: -5.6707 eV/atom
**Space group**: P4/mmm

a = 4.3971 Å, b = 5.2638 Å, c = 5.2638 Å
α = 90.00°, β = 90.00°, γ = 90.00°
With the nearest neighbours (Å) after each atom.
Element x y z (fractional)
Y (0.0000, 0.0000, 0.5000)  2 Zn 2.63
Y (0.0000, 0.5000, 0.0000)  2 Zn 2.63
Ru (0.5000, 0.0000, 0.0000)  2 Zn 2.20
Zn (0.0000, 0.0000, 0.0000)  2 Ru 2.20
Se (0.5000, 0.5000, 0.5000)  8 Y 3.43, 4 Ru 3.72

This record from Alexandria describes a relaxed Ta2AlFe crystal. The functional is GGA-PBEsol.

**DOS(E_F)**: 0.97 states/eV/atom
**VASP energy**: -9.5612 eV/atom
**Space group**: I-4m2
**E_form**: -0.02 eV per atom

a = 3.7040 Å, b = 3.7040 Å, c = 5.0960 Å
α = 111.31°, β = 111.31°, γ = 90.00°
With the nearest neighbours (Å) after each atom.
Element x y z (fractional)
Al (0.5000, 0.5000, 0.0000)  8 Ta 2.62-2.86, 4 Fe 2.86
Fe (0.2500, 0.7500, 0.5000)  8 Ta 2.62-2.86, 4 Al 2.86
Ta (0.0000, 0.0000, 0.0000)  4 Al 2.62, 4 Ta 2.86, 4 Fe 2.86
Ta (0.7500, 0.2500, 0.5000)  4 Fe 2.62, 4 Ta 2.86, 4 Al 2.86

This record from Alexandria describes a relaxed Mg2Tc crystal. The functional is GGA-PBEsol.

**DOS(E_F)**: 1.14 states/eV/atom
**VASP energy**: -4.1440 eV/atom
**Space group**: Fd-3m
**E_form**: 0.76 eV per atom

a = 5.2007 Å, b = 5.2007 Å, c = 5.2007 Å
α = 60.00°, β = 60.00°, γ = 60.00°
With the nearest neighbours (Å) after each atom.
Element x y z (fractional)
Mg (0.6250, 0.1250, 0.6250)  6 Mg 2.60
Mg (0.1250, 0.6250, 0.6250)  6 Mg 2.60
Mg (0.6250, 0.6250, 0.6250)  6 Mg 2.60
Mg (0.6250, 0.6250, 0.1250)  6 Mg 2.60
Tc (0.0000, 0.0000, 0.0000)  12 Mg 3.05, 4 Tc 3.18
Tc (0.2500, 0.2500, 0.2500)  12 Mg 3.05, 4 Tc 3.18

This record from Alexandria describes a relaxed CoSb3Mo crystal. The functional is GGA-PBEsol.

**ΔE_f (raw)**: 1158 meV/atom
**DOS(E_F)**: 2.52 states/eV/atom
**VASP energy**: -5.4774 eV/atom
**Space group**: Pm-3m

a = 5.1248 Å, b = 5.1248 Å, c = 5.1248 Å
α = 90.00°, β = 90.00°, γ = 90.00°
With the nearest neighbours (Å) after each atom.
Element x y z (fractional)
Sb (0.0000, 0.5000, 0.0000)  2 Mo 2.56
Sb (0.0000, 0.0000, 0.5000)  2 Mo 2.56
Sb (0.5000, 0.0000, 0.0000)  2 Mo 2.56
Mo (0.0000, 0.0000, 0.0000)  6 Sb 2.56
Co (0.5000, 0.5000, 0.5000)  12 Sb 3.62

This record from Alexandria describes a relaxed Bi3HOs crystal. The functional is GGA-PBEsol.

**DOS(E_F)**: 0.69 states/eV/atom
**VASP energy**: -4.7007 eV/atom
**Space group**: Pm-3m

a = 4.6499 Å, b = 4.6499 Å, c = 4.6499 Å
α = 90.00°, β = 90.00°, γ = 90.00°
With the nearest neighbours (Å) after each atom.
Element x y z (fractional)
H (0.0000, 0.0000, 0.0000)  6 Bi 2.32
Os (0.5000, 0.5000, 0.5000)  12 Bi 3.29
Bi (0.0000, 0.5000, 0.0000)  2 H 2.32
Bi (0.0000, 0.0000, 0.5000)  2 H 2.32
Bi (0.5000, 0.0000, 0.0000)  2 H 2.32

This record from Alexandria describes a relaxed MgZnHgSe2 crystal. The functional is GGA-PBEsol.

**ΔE_f (raw)**: 37 meV/atom
**DOS(E_F)**: 0.36 states/eV/atom
**VASP energy**: -2.2758 eV/atom
**Space group**: P4/mmm

a = 4.8668 Å, b = 5.0373 Å, c = 5.0373 Å
α = 90.00°, β = 90.00°, γ = 90.00°
With the nearest neighbours (Å) after each atom.
Element x y z (fractional)
Mg (0.5000, 0.5000, 0.5000)  8 Se 3.50, 4 Hg 3.56
Zn (0.0000, 0.0000, 0.0000)  2 Hg 2.43, 4 Se 2.52
Hg (0.5000, 0.0000, 0.0000)  2 Zn 2.43
Se (0.0000, 0.0000, 0.5000)  2 Zn 2.52
Se (0.0000, 0.5000, 0.0000)  2 Zn 2.52

This record from Alexandria describes a relaxed Cs2VAgS4 crystal. The functional is GGA-PBEsol.

**ΔE_f (raw)**: -999 meV/atom
**VASP energy**: -5.0445 eV/atom
**Space group**: Fddd

a = 5.7151 Å, b = 7.5192 Å, c = 12.2893 Å
α = 84.93°, β = 76.55°, γ = 67.66°
With the nearest neighbours (Å) after each atom.
Element x y z (fractional)
Cs (0.6796, 0.0000, 0.6408)  8 S 3.43-3.82
Cs (0.3204, 0.0000, 0.3592)  8 S 3.43-3.82
Cs (0.4296, 0.5000, 0.1408)  8 S 3.43-3.82
Cs (0.0704, 0.5000, 0.8592)  8 S 3.43-3.82
S (0.3110, 0.6858, 0.6066)  1 V 2.17
S (0.6034, 0.3142, 0.3934)  1 V 2.17
S (0.0033, 0.6858, 0.3934)  1 V 2.17
S (0.0824, 0.3142, 0.6066)  1 V 2.17
S (0.6676, 0.1858, 0.8934)  1 V 2.17
S (0.1466, 0.1858, 0.1066)  1 V 2.17
S (0.7467, 0.8142, 0.1066)  1 V 2.17
S (0.4390, 0.8142, 0.8934)  1 V 2.17
Ag (0.0000, 0.0000, 0.0000)  4 S 2.47
Ag (0.7500, 0.5000, 0.5000)  4 S 2.47
V (0.2500, 0.5000, 0.5000)  4 S 2.17
V (0.5000, 0.0000, 0.0000)  4 S 2.17